<one>
Here is a geometry-optimized Cd2HgC structure from the Alexandria database. Energies are from GGA-PBE.

## Properties
- Space-group type: I4_1/amd

Cell lengths 6.9365, 6.9365, 6.9567 Å; angles 60.10, 60.10, 90.00 degrees
Closest atoms and distances in Å follow each position.
Positions (direct):
1 C 0.5000 0.5000 0.0000  4 Cd 2.13
2 C 0.2500 0.7500 0.5000  4 Cd 2.13
3 Hg 0.0000 0.0000 0.0000  12 Cd 4.07-4.09, 4 Hg 4.26, 4 C 4.26
4 Hg 0.7500 0.2500 0.5000  12 Cd 4.07-4.09, 4 Hg 4.26, 4 C 4.26
5 Cd 0.3754 0.1250 0.2500  2 C 2.13
6 Cd 0.3746 0.6250 0.2500  2 C 2.13
7 Cd 0.3750 0.6246 0.7500  2 C 2.13
8 Cd 0.8750 0.6254 0.7500  2 C 2.13

---

<two>
Here is a geometry-optimized Cd2HgC structure from the Alexandria database. Energies are from GGA-PBE.

## Properties
- Space-group type: Fm-3m

Cell lengths 4.7298, 4.7298, 4.7298 Å; angles 60.00, 60.00, 60.00 degrees
Closest atoms and distances in Å follow each position.
Positions (direct):
1 C 0.0000 0.0000 0.0000  8 Cd 2.90
2 Hg 0.5000 0.5000 0.5000  8 Cd 2.90
3 Cd 0.2500 0.2500 0.2500  4 Hg 2.90, 4 C 2.90
4 Cd 0.7500 0.7500 0.7500  4 Hg 2.90, 4 C 2.90

---

Least stable of them? <two>.

---

<one>
Here is a geometry-optimized CdCI2 structure from the Alexandria database. Energies are from GGA-PBE.

## Properties
- Space-group type: I-42d

Cell lengths 7.5661, 7.5661, 7.5789 Å; angles 60.06, 60.06, 90.00 degrees
Closest atoms and distances in Å follow each position.
Positions (direct):
1 I 0.3769 0.1250 0.2500  2 C 2.32
2 I 0.3731 0.6250 0.2500  2 C 2.32
3 I 0.3750 0.6231 0.7500  2 C 2.32
4 I 0.8750 0.6269 0.7500  2 C 2.32
5 C 0.5000 0.5000 0.0000  4 I 2.32
6 C 0.2500 0.7500 0.5000  4 I 2.32
7 Cd 0.0000 0.0000 0.0000  12 I 4.43-4.45, 4 Cd 4.64, 4 C 4.64
8 Cd 0.7500 0.2500 0.5000  12 I 4.43-4.45, 4 C 4.64, 4 Cd 4.64

---

<two>
Here is a geometry-optimized CdCI2 structure from the Alexandria database. Energies are from GGA-PBE.

## Properties
- Space-group type: Fm-3m

Cell lengths 5.3096, 5.3096, 5.3096 Å; angles 60.00, 60.00, 60.00 degrees
Closest atoms and distances in Å follow each position.
Positions (direct):
1 I 0.2500 0.2500 0.2500  4 Cd 3.25, 4 C 3.25
2 I 0.7500 0.7500 0.7500  4 Cd 3.25, 4 C 3.25
3 C 0.0000 0.0000 0.0000  8 I 3.25
4 Cd 0.5000 0.5000 0.5000  8 I 3.25

---

Least stable of them? <two>.

---

<one>
Here is a geometry-optimized CdCI3 structure from the Alexandria database. Energies are from GGA-PBE.

## Properties
- Space-group type: Pm-3m

Cell lengths 5.8975, 5.8975, 5.8975 Å; angles 90.00, 90.00, 90.00 degrees
Closest atoms and distances in Å follow each position.
Positions (direct):
1 I 0.0000 0.5000 0.0000  2 Cd 2.95
2 I 0.0000 0.0000 0.5000  2 Cd 2.95
3 I 0.5000 0.0000 0.0000  2 Cd 2.95
4 C 0.5000 0.5000 0.5000  12 I 4.17
5 Cd 0.0000 0.0000 0.0000  6 I 2.95

---

<two>
Here is a geometry-optimized CdCI3 structure from the Alexandria database. Energies are from GGA-PBE.

## Properties
- Space-group type: Pm-3m

Cell lengths 5.1673, 5.1673, 5.1673 Å; angles 90.00, 90.00, 90.00 degrees
Closest atoms and distances in Å follow each position.
Positions (direct):
1 I 0.0000 0.5000 0.0000  2 C 2.58
2 I 0.0000 0.0000 0.5000  2 C 2.58
3 I 0.5000 0.0000 0.0000  2 C 2.58
4 C 0.0000 0.0000 0.0000  6 I 2.58
5 Cd 0.5000 0.5000 0.5000  12 I 3.65

---

Least stable of them? <one>.

---

<one>
Here is a geometry-optimized CdCIO2 structure from the Alexandria database. Energies are from GGA-PBE.

## Properties
- Space-group type: P4/mmm

Cell lengths 3.9844, 3.9844, 4.4808 Å; angles 90.00, 90.00, 90.00 degrees
Closest atoms and distances in Å follow each position.
Positions (direct):
1 I 0.0000 0.0000 0.5000  2 C 2.24
2 C 0.0000 0.0000 0.0000  4 O 1.99
3 O 0.0000 0.5000 0.0000  2 C 1.99
4 O 0.5000 0.0000 0.0000  2 C 1.99
5 Cd 0.5000 0.5000 0.5000  4 I 2.82, 8 O 3.00

---

<two>
Here is a geometry-optimized CdCIO2 structure from the Alexandria database. Energies are from GGA-PBE.

## Properties
- Space-group type: P4/mmm

Cell lengths 4.0108, 4.0108, 7.6424 Å; angles 90.00, 90.00, 90.00 degrees
Closest atoms and distances in Å follow each position.
Positions (direct):
1 I 0.0000 0.0000 0.5000  4 C 2.84
2 C 0.5000 0.5000 0.5000  4 I 2.84
3 O 0.0000 0.5000 0.0000  2 Cd 2.01
4 O 0.5000 0.0000 0.0000  2 Cd 2.01
5 Cd 0.0000 0.0000 0.0000  4 O 2.01

---

Least stable of them? <two>.

---

<one>
Here is a geometry-optimized CdSb2CI structure from the Alexandria database. Energies are from GGA-PBE.

## Properties
- Space-group type: P4/mmm

Cell lengths 4.8588, 4.8588, 5.1133 Å; angles 90.00, 90.00, 90.00 degrees
Closest atoms and distances in Å follow each position.
Positions (direct):
1 I 0.0000 0.0000 0.5000  2 C 2.56
2 Sb 0.0000 0.5000 0.0000  2 C 2.43
3 Sb 0.5000 0.0000 0.0000  2 C 2.43
4 C 0.0000 0.0000 0.0000  4 Sb 2.43, 2 I 2.56
5 Cd 0.5000 0.5000 0.5000  4 I 3.44, 8 Sb 3.53

---

<two>
Here is a geometry-optimized CdSb2CI structure from the Alexandria database. Energies are from GGA-PBE.

## Properties
- Space-group type: P4/mmm

Cell lengths 5.5858, 5.5858, 5.8311 Å; angles 90.00, 90.00, 90.00 degrees
Closest atoms and distances in Å follow each position.
Positions (direct):
1 I 0.0000 0.0000 0.5000  2 Cd 2.92
2 Sb 0.0000 0.5000 0.0000  2 Cd 2.79
3 Sb 0.5000 0.0000 0.0000  2 Cd 2.79
4 C 0.5000 0.5000 0.5000  4 I 3.95, 8 Sb 4.04
5 Cd 0.0000 0.0000 0.0000  4 Sb 2.79, 2 I 2.92

---

Least stable of them? <two>.

---

<one>
Here is a geometry-optimized CdTe2CI structure from the Alexandria database. Energies are from GGA-PBE.

## Properties
- Space-group type: P4/mmm

Cell lengths 5.7196, 5.7196, 5.8444 Å; angles 90.00, 90.00, 90.00 degrees
Closest atoms and distances in Å follow each position.
Positions (direct):
1 I 0.0000 0.0000 0.5000  2 Cd 2.92
2 C 0.5000 0.5000 0.5000  4 I 4.04, 8 Te 4.09
3 Te 0.0000 0.5000 0.0000  2 Cd 2.86
4 Te 0.5000 0.0000 0.0000  2 Cd 2.86
5 Cd 0.0000 0.0000 0.0000  4 Te 2.86, 2 I 2.92

---

<two>
Here is a geometry-optimized CdTe2CI structure from the Alexandria database. Energies are from GGA-PBE.

## Properties
- Space-group type: P4/mmm

Cell lengths 4.9075, 4.9075, 5.0687 Å; angles 90.00, 90.00, 90.00 degrees
Closest atoms and distances in Å follow each position.
Positions (direct):
1 I 0.0000 0.0000 0.5000  2 C 2.53
2 C 0.0000 0.0000 0.0000  4 Te 2.45, 2 I 2.53
3 Te 0.0000 0.5000 0.0000  2 C 2.45
4 Te 0.5000 0.0000 0.0000  2 C 2.45
5 Cd 0.5000 0.5000 0.5000  4 I 3.47, 8 Te 3.53

---

Least stable of them? <one>.

---

<one>
Here is a geometry-optimized CdTeCI2 structure from the Alexandria database. Energies are from GGA-PBE.

## Properties
- Space-group type: P4/mmm

Cell lengths 5.8623, 5.8623, 5.8662 Å; angles 90.00, 90.00, 90.00 degrees
Closest atoms and distances in Å follow each position.
Positions (direct):
1 I 0.0000 0.5000 0.0000  2 Cd 2.93
2 I 0.5000 0.0000 0.0000  2 Cd 2.93
3 C 0.5000 0.5000 0.5000  4 Te 4.15, 8 I 4.15
4 Te 0.0000 0.0000 0.5000  2 Cd 2.93
5 Cd 0.0000 0.0000 0.0000  4 I 2.93, 2 Te 2.93

---

<two>
Here is a geometry-optimized CdTeCI2 structure from the Alexandria database. Energies are from GGA-PBE.

## Properties
- Space-group type: P4/mmm

Cell lengths 5.1711, 5.1711, 4.8292 Å; angles 90.00, 90.00, 90.00 degrees
Closest atoms and distances in Å follow each position.
Positions (direct):
1 I 0.0000 0.5000 0.0000  2 C 2.59
2 I 0.5000 0.0000 0.0000  2 C 2.59
3 C 0.0000 0.0000 0.0000  2 Te 2.41, 4 I 2.59
4 Te 0.0000 0.0000 0.5000  2 C 2.41
5 Cd 0.5000 0.5000 0.5000  8 I 3.54, 4 Te 3.66

---

Least stable of them? <one>.

---

<one>
Here is a geometry-optimized Cd2InC structure from the Alexandria database. Energies are from GGA-PBE.

## Properties
- Space-group type: Fm-3m

Cell lengths 4.8167, 4.8167, 4.8167 Å; angles 60.00, 60.00, 60.00 degrees
Closest atoms and distances in Å follow each position.
Positions (direct):
1 C 0.0000 0.0000 0.0000  8 Cd 2.95
2 Cd 0.2500 0.2500 0.2500  4 In 2.95, 4 C 2.95
3 Cd 0.7500 0.7500 0.7500  4 In 2.95, 4 C 2.95
4 In 0.5000 0.5000 0.5000  8 Cd 2.95

---

<two>
Here is a geometry-optimized Cd2InC structure from the Alexandria database. Energies are from GGA-PBE.

## Properties
- Space-group type: I-42d

Cell lengths 6.8666, 6.8666, 6.8866 Å; angles 60.10, 60.10, 90.00 degrees
Closest atoms and distances in Å follow each position.
Positions (direct):
1 C 0.5000 0.5000 0.0000  4 Cd 2.11
2 C 0.2500 0.7500 0.5000  4 Cd 2.11
3 Cd 0.3773 0.1250 0.2500  2 C 2.11
4 Cd 0.3727 0.6250 0.2500  2 C 2.11
5 Cd 0.3750 0.6227 0.7500  2 C 2.11
6 Cd 0.8750 0.6273 0.7500  2 C 2.11
7 In 0.0000 0.0000 0.0000  12 Cd 4.01-4.05, 4 In 4.21, 4 C 4.21
8 In 0.7500 0.2500 0.5000  12 Cd 4.01-4.05, 4 C 4.21, 4 In 4.21

---

Least stable of them? <one>.

---

<one>
Here is a geometry-optimized CdInC3 structure from the Alexandria database. Energies are from GGA-PBE.

## Properties
- Space-group type: Pm-3m

Cell lengths 4.3812, 4.3812, 4.3812 Å; angles 90.00, 90.00, 90.00 degrees
Closest atoms and distances in Å follow each position.
Positions (direct):
1 C 0.0000 0.5000 0.0000  2 In 2.19
2 C 0.0000 0.0000 0.5000  2 In 2.19
3 C 0.5000 0.0000 0.0000  2 In 2.19
4 Cd 0.5000 0.5000 0.5000  12 C 3.10
5 In 0.0000 0.0000 0.0000  6 C 2.19

---

<two>
Here is a geometry-optimized CdInC3 structure from the Alexandria database. Energies are from GGA-PBE.

## Properties
- Space-group type: Pm-3m

Cell lengths 4.3524, 4.3524, 4.3524 Å; angles 90.00, 90.00, 90.00 degrees
Closest atoms and distances in Å follow each position.
Positions (direct):
1 C 0.0000 0.5000 0.0000  2 Cd 2.18
2 C 0.0000 0.0000 0.5000  2 Cd 2.18
3 C 0.5000 0.0000 0.0000  2 Cd 2.18
4 Cd 0.0000 0.0000 0.0000  6 C 2.18
5 In 0.5000 0.5000 0.5000  12 C 3.08

---

Least stable of them? <two>.

---

<one>
Here is a geometry-optimized Cd3InC structure from the Alexandria database. Energies are from GGA-PBE.

## Properties
- Space-group type: Pm-3m

Cell lengths 4.7468, 4.7468, 4.7468 Å; angles 90.00, 90.00, 90.00 degrees
Closest atoms and distances in Å follow each position.
Positions (direct):
1 C 0.0000 0.0000 0.0000  6 Cd 2.37
2 Cd 0.0000 0.5000 0.0000  2 C 2.37
3 Cd 0.0000 0.0000 0.5000  2 C 2.37
4 Cd 0.5000 0.0000 0.0000  2 C 2.37
5 In 0.5000 0.5000 0.5000  12 Cd 3.36

---

<two>
Here is a geometry-optimized Cd3InC structure from the Alexandria database. Energies are from GGA-PBE.

## Properties
- Space-group type: Pm-3m

Cell lengths 5.5261, 5.5261, 5.5261 Å; angles 90.00, 90.00, 90.00 degrees
Closest atoms and distances in Å follow each position.
Positions (direct):
1 C 0.5000 0.5000 0.5000  12 Cd 3.91
2 Cd 0.0000 0.5000 0.0000  2 In 2.76
3 Cd 0.0000 0.0000 0.5000  2 In 2.76
4 Cd 0.5000 0.0000 0.0000  2 In 2.76
5 In 0.0000 0.0000 0.0000  6 Cd 2.76

---

Least stable of them? <two>.

---

<one>
Here is a geometry-optimized CdIn3C structure from the Alexandria database. Energies are from GGA-PBE.

## Properties
- Space-group type: Pm-3m

Cell lengths 5.5180, 5.5180, 5.5180 Å; angles 90.00, 90.00, 90.00 degrees
Closest atoms and distances in Å follow each position.
Positions (direct):
1 C 0.5000 0.5000 0.5000  12 In 3.90
2 Cd 0.0000 0.0000 0.0000  6 In 2.76
3 In 0.0000 0.5000 0.0000  2 Cd 2.76
4 In 0.0000 0.0000 0.5000  2 Cd 2.76
5 In 0.5000 0.0000 0.0000  2 Cd 2.76

---

<two>
Here is a geometry-optimized CdIn3C structure from the Alexandria database. Energies are from GGA-PBE.

## Properties
- Space-group type: Pm-3m

Cell lengths 4.8572, 4.8572, 4.8572 Å; angles 90.00, 90.00, 90.00 degrees
Closest atoms and distances in Å follow each position.
Positions (direct):
1 C 0.0000 0.0000 0.0000  6 In 2.43
2 Cd 0.5000 0.5000 0.5000  12 In 3.43
3 In 0.0000 0.5000 0.0000  2 C 2.43
4 In 0.0000 0.0000 0.5000  2 C 2.43
5 In 0.5000 0.0000 0.0000  2 C 2.43

---

Least stable of them? <one>.

---

<one>
Here is a geometry-optimized CdIrC3 structure from the Alexandria database. Energies are from GGA-PBE.

## Properties
- Space-group type: Pm-3m

Cell lengths 4.1350, 4.1350, 4.1350 Å; angles 90.00, 90.00, 90.00 degrees
Closest atoms and distances in Å follow each position.
Positions (direct):
1 C 0.0000 0.5000 0.0000  2 Cd 2.07
2 C 0.0000 0.0000 0.5000  2 Cd 2.07
3 C 0.5000 0.0000 0.0000  2 Cd 2.07
4 Ir 0.5000 0.5000 0.5000  12 C 2.92
5 Cd 0.0000 0.0000 0.0000  6 C 2.07

---

<two>
Here is a geometry-optimized CdIrC3 structure from the Alexandria database. Energies are from GGA-PBE.

## Properties
- Space-group type: Pm-3m

Cell lengths 4.0567, 4.0567, 4.0567 Å; angles 90.00, 90.00, 90.00 degrees
Closest atoms and distances in Å follow each position.
Positions (direct):
1 C 0.0000 0.5000 0.0000  2 Ir 2.03
2 C 0.0000 0.0000 0.5000  2 Ir 2.03
3 C 0.5000 0.0000 0.0000  2 Ir 2.03
4 Ir 0.0000 0.0000 0.0000  6 C 2.03
5 Cd 0.5000 0.5000 0.5000  12 C 2.87

---

Least stable of them? <one>.